A geometry-optimized HfMg3Sb structure. Source: Alexandria via LeMat-Bulk, functional GGA-PBE.

The uncorrected energy comes out at -2.613 eV/atom. Its excess energy over the best structure of this formula in the dataset is 0.356 eV per atom. As for the density of states at the Fermi level: 0.466 states/eV per atom. As for the space group: Pm-3m (221). The calculation puts the formation energy without anion corrections at 1.159 eV/atom.

Cell lengths 5.523, 5.523, 5.523 Å; angles 90.00, 90.00, 90.00 degrees
Fractional positions:
1 Hf 0.000 0.000 0.000
2 Mg 0.000 0.000 0.500
3 Mg 0.000 0.500 0.000
4 Mg 0.500 0.000 0.000
5 Sb 0.500 0.500 0.500